Record 1
## Sc2BiSF (PBE-GGA)

Data for a relaxed structure of Sc2BiSF.

Geometry as POSCAR:
```
Sc2BiSF
1.0
4.361 0.000 0.000
0.000 4.361 0.000
0.000 0.000 5.674
Sc Bi S F
2 1 1 1
Direct
0.000 0.500 0.000
0.500 0.000 0.000
0.000 0.000 0.500
0.500 0.500 0.500
0.000 0.000 0.000
```

Results
DFT total energy   -26.13 eV per cell
Space-group type   P4/mmm

=====

Record 2
## ZnBiS2F (PBE-GGA)

Data for a relaxed structure of ZnBiS2F.

Geometry as POSCAR:
```
ZnBiS2F
1.0
5.145 0.000 0.000
0.000 5.145 0.000
0.000 0.000 4.282
Zn Bi S F
1 1 2 1
Direct
0.000 0.000 0.000
0.500 0.500 0.000
0.000 0.500 0.500
0.500 0.000 0.500
0.500 0.500 0.500
```

Results
Energy relative to the lowest polymorph listed for this composition   0 meV per atom
Space-group type   P4/mmm

=====

Record 3
## ZnBiS2F (PBE-GGA)

Data for a relaxed structure of ZnBiS2F.

Geometry as POSCAR:
```
ZnBiS2F
1.0
5.204 0.000 0.000
0.000 5.204 0.000
0.000 0.000 5.744
Zn Bi S F
1 1 2 1
Direct
0.000 0.000 0.000
0.000 0.000 0.500
0.000 0.500 0.500
0.500 0.000 0.500
0.500 0.500 0.000
```

Results
Energy relative to the lowest polymorph listed for this composition   121 meV per atom
Space-group type   P4/mmm

=====

Record 4
## ZrBiS2F (PBE-GGA)

Data for a relaxed structure of ZrBiS2F.

Geometry as POSCAR:
```
ZrBiS2F
1.0
4.827 0.000 0.000
0.000 4.827 0.000
0.000 0.000 6.032
Zr Bi S F
1 1 2 1
Direct
0.000 0.000 0.000
0.000 0.000 0.500
0.000 0.500 0.000
0.500 0.000 0.000
0.500 0.500 0.500
```

Results
DFT total energy   -25.20 eV per cell
Space-group type   P4/mmm

=====

Record 5
## BiSbF3 (PBE-GGA)

Data for a relaxed structure of BiSbF3.

Geometry as POSCAR:
```
BiSbF3
1.0
4.670 0.000 0.000
0.000 4.670 0.000
0.000 0.000 4.670
Bi Sb F
1 1 3
Direct
0.000 0.000 0.000
0.500 0.500 0.500
0.000 0.000 0.500
0.000 0.500 0.000
0.500 0.000 0.000
```

Results
Energy relative to the lowest polymorph listed for this composition   0 meV per atom
Space-group type   Pm-3m

=====

Record 6
## BiSb3F (PBE-GGA)

Data for a relaxed structure of BiSb3F.

Geometry as POSCAR:
```
BiSb3F
1.0
5.851 0.000 0.000
0.000 5.851 0.000
0.000 0.000 5.851
Bi Sb F
1 3 1
Direct
0.000 0.000 0.000
0.000 0.000 0.500
0.000 0.500 0.000
0.500 0.000 0.000
0.500 0.500 0.500
```

Results
Energy relative to the lowest polymorph listed for this composition   839 meV per atom
Space-group type   Pm-3m